Entry from the Alexandria database: an optimized crystal structure of HfNp2TaN4 (PBE).

Output
formation energy without anion corrections = -126.0 kJ/mol of atoms
total moment = 0.2 μB/cell

Lattice parameters (Å, degrees): 5.6417 3.2436 5.8164 90.00 108.53 90.00
Space group P2/m (No. 10)
Symmetry-distinct sites (fractional):
Hf 0.0000 0.0000 0.0000 x1
Np 0.0000 0.5000 0.5000 x1
Np 0.5000 0.0000 0.5000 x1
Ta 0.5000 0.5000 0.0000 x1
N 0.2446 0.5000 0.2209 x2
N 0.2652 0.0000 0.7808 x2

***

Entry from the Alexandria database: an optimized crystal structure of Ti2TeP2 (PBE).

Output
formation energy without anion corrections = -63.4 kJ/mol of atoms
relative energy among the computed polymorphs = 30 meV/atom
total moment = 0.0 μB/cell

Lattice parameters (Å, degrees): 3.5818 3.5818 13.3355 90.00 90.00 90.00
Space group I4/mmm (No. 139)
Symmetry-distinct sites (fractional):
Ti 0.0000 0.0000 0.1174 x4
Te 0.0000 0.0000 0.5000 x2
P 0.0000 0.5000 0.2500 x4

***

Entry from the Alexandria database: an optimized crystal structure of BeAsRh2 (PBE).

Output
relative energy among the computed polymorphs = 28 meV/atom
formation energy = -347 meV per atom
total moment = 0.0 μB/cell

Lattice parameters (Å, degrees): 2.9969 3.5637 10.0823 90.00 90.00 90.00
Space group Imm2 (No. 44)
Symmetry-distinct sites (fractional):
Be 0.0000 0.0000 0.0000 x2
As 0.0000 0.5000 0.2702 x2
Rh 0.0000 0.0000 0.4413 x2
Rh 0.0000 0.5000 0.6749 x2